No. 1
Material: BaMgSnAu2
Method: DFT, PBE
State: optimized geometry

Summary:
V in A^3/atom: 26.26
Space group: I-4m2
DOS(E_F) in states/eV/cell: 2.26
VASP energy in eV/atom: -3.441
Energy of formation in meV per atom: -626

Geometry as extended XYZ:
```
5
Lattice="-1.676 -1.156 -4.178 1.472 -4.366 0.618 -5.229 1.323 4.317" Properties=species:S:1:pos:R:3 pbc="T T T"
Sn -1.930 -2.902 1.577
Ba 0.000 0.000 0.000
Mg -3.504 -1.297 -0.821
Au -1.360 -3.100 -1.182
Au -4.074 -1.099 1.939
```



No. 2
Material: Ba3Sr2Mg2Au4
Method: DFT, PBE
State: optimized geometry

Summary:
V in A^3/atom: 35.68
Space group: P-3m1
DOS(E_F) in states/eV/cell: 7.17
VASP energy in eV/atom: -2.857
Energy of formation in meV per atom: -545

Geometry as extended XYZ:
```
11
Lattice="-2.340 -3.140 2.763 4.715 0.645 0.570 -3.544 14.246 13.187" Properties=species:S:1:pos:R:3 pbc="T T T"
Sr 0.301 7.672 8.973
Sr -1.471 4.080 7.547
Ba 0.000 0.000 0.000
Ba -0.866 3.482 3.223
Ba -2.678 10.763 9.964
Mg 1.928 1.131 2.918
Mg -3.098 10.620 13.602
Au -2.320 7.491 10.705
Au -0.751 11.901 12.888
Au -0.419 -0.149 3.632
Au 1.150 4.260 5.815
```



No. 3
Material: Ba2SrMgAu
Method: DFT, PBE
State: optimized geometry

Summary:
V in A^3/atom: 45.20
Space group: P4/mmm
DOS(E_F) in states/eV/cell: 4.65
VASP energy in eV/atom: -2.333
Energy of formation in meV per atom: -253

Geometry as extended XYZ:
```
5
Lattice="6.491 0.000 0.000 0.000 6.491 0.000 0.000 0.000 5.364" Properties=species:S:1:pos:R:3 pbc="T T T"
Ba 0.000 3.245 0.000
Ba 3.245 0.000 0.000
Mg 0.000 0.000 2.682
Au 0.000 0.000 0.000
Sr 3.245 3.245 2.682
```



No. 4
Material: BaSrMgAu2
Method: DFT, PBE
State: optimized geometry

Summary:
V in A^3/atom: 42.98
Space group: P4/mmm
DOS(E_F) in states/eV/cell: 2.68
VASP energy in eV/atom: -2.165
Energy of formation in meV per atom: 186

Geometry as extended XYZ:
```
5
Lattice="-3.180 -2.268 -4.433 4.065 -4.221 -0.756 -2.997 -3.601 3.992" Properties=species:S:1:pos:R:3 pbc="T T T"
Au 2.032 -2.111 -0.378
Au -1.590 -1.134 -2.217
Sr -1.056 -5.045 -0.598
Ba 0.000 0.000 0.000
Mg -1.499 -1.800 1.996
```



No. 5
Material: Ba2SrMgAu
Method: DFT, PBE
State: optimized geometry

Summary:
V in A^3/atom: 49.57
Space group: P4/mmm
DOS(E_F) in states/eV/cell: 3.79
VASP energy in eV/atom: -2.297
Energy of formation in meV per atom: -217

Geometry as extended XYZ:
```
5
Lattice="-1.125 -5.177 -3.527 -2.739 -2.816 5.008 -5.416 2.310 -1.663" Properties=species:S:1:pos:R:3 pbc="T T T"
Ba -1.369 -1.408 2.504
Ba -0.563 -2.589 -1.763
Sr -2.708 1.155 -0.832
Au 0.000 0.000 0.000
Mg -4.640 -2.842 -0.091
```



No. 6
Material: BaSrMg2Au
Method: DFT, PBE
State: optimized geometry

Summary:
V in A^3/atom: 34.83
Space group: P4/mmm
DOS(E_F) in states/eV/cell: 4.00
VASP energy in eV/atom: -2.258
Energy of formation in meV per atom: -244

Geometry as extended XYZ:
```
5
Lattice="-5.284 1.197 0.221 -1.008 -4.855 2.194 0.745 2.290 5.411" Properties=species:S:1:pos:R:3 pbc="T T T"
Mg -0.504 -2.428 1.097
Mg -2.642 0.599 0.110
Sr 0.372 1.145 2.706
Ba -2.774 -0.684 3.913
Au 0.000 0.000 0.000
```



No. 7
Material: BaTbMg2Au4
Method: DFT, PBE
State: optimized geometry

Summary:
V in A^3/atom: 24.50
Space group: R-3m
DOS(E_F) in states/eV/cell: 4.05
VASP energy in eV/atom: -3.550
Energy of formation in meV per atom: -694

Geometry as extended XYZ:
```
8
Lattice="4.758 0.000 0.000 2.379 4.120 0.000 2.379 1.373 9.998" Properties=species:S:1:pos:R:3 pbc="T T T"
Au 7.137 4.120 3.567
Au 2.379 1.373 6.430
Au 4.758 2.747 2.075
Au 4.758 2.747 7.923
Mg 2.379 1.373 2.854
Mg 7.137 4.120 7.143
Tb 4.758 2.747 4.999
Ba 0.000 0.000 0.000
```



No. 8
Material: Ba2MgTeAu
Method: DFT, PBE
State: optimized geometry

Summary:
V in A^3/atom: 40.07
Space group: P4/mmm
DOS(E_F) in states/eV/cell: 3.24
Formation energy without anion corrections in eV per formula unit: -3.71
VASP energy in eV/atom: -3.115

Geometry as extended XYZ:
```
5
Lattice="6.260 0.000 0.000 0.000 5.113 0.000 0.000 0.000 6.260" Properties=species:S:1:pos:R:3 pbc="T T T"
Ba 0.000 0.000 3.130
Ba 3.130 0.000 0.000
Mg 0.000 2.556 0.000
Au 0.000 0.000 0.000
Te 3.130 2.556 3.130
```



No. 9
Material: BaMg2TiAu
Method: DFT, PBE
State: optimized geometry

Summary:
V in A^3/atom: 32.53
Space group: P4/mmm
DOS(E_F) in states/eV/cell: 12.03
VASP energy in eV/atom: -2.811
Energy of formation in meV per atom: 446

Geometry as extended XYZ:
```
5
Lattice="-4.887 0.563 1.652 -1.030 -5.859 -1.048 1.505 -1.130 4.836" Properties=species:S:1:pos:R:3 pbc="T T T"
Ti -2.206 -3.212 2.720
Ba -0.515 -2.929 -0.524
Mg -2.443 0.282 0.826
Mg 0.752 -0.565 2.418
Au 0.000 0.000 0.000
```



No. 10
Material: Ba2MgTlAu
Method: DFT, PBE
State: optimized geometry

Summary:
V in A^3/atom: 41.52
Space group: P4/mmm
DOS(E_F) in states/eV/cell: 4.67
VASP energy in eV/atom: -2.534
Energy of formation in meV per atom: -318

Geometry as extended XYZ:
```
5
Lattice="6.356 0.000 0.000 0.000 6.356 0.000 0.000 0.000 5.138" Properties=species:S:1:pos:R:3 pbc="T T T"
Tl 3.178 3.178 2.569
Au 0.000 0.000 0.000
Ba 0.000 3.178 0.000
Ba 3.178 0.000 0.000
Mg 0.000 0.000 2.569
```



No. 11
Material: BaMgWAu2
Method: DFT, PBE
State: optimized geometry

Summary:
V in A^3/atom: 28.21
Space group: P4/mmm
DOS(E_F) in states/eV/cell: 4.71
VASP energy in eV/atom: -4.229
Energy of formation in meV per atom: 377

Geometry as extended XYZ:
```
5
Lattice="5.177 0.000 0.000 0.000 5.262 0.000 0.000 0.000 5.177" Properties=species:S:1:pos:R:3 pbc="T T T"
Ba 2.589 2.631 2.589
Mg 0.000 2.631 0.000
Au 2.589 0.000 0.000
Au 0.000 0.000 2.589
W 0.000 0.000 0.000
```



No. 12
Material: BaYMg2Au4
Method: DFT, PBE
State: optimized geometry

Summary:
V in A^3/atom: 24.47
Space group: R-3m
DOS(E_F) in states/eV/cell: 4.26
VASP energy in eV/atom: -3.776
Energy of formation in meV per atom: -690

Geometry as extended XYZ:
```
8
Lattice="-2.148 3.123 2.870 -4.488 1.319 -0.855 -5.509 -6.036 6.383" Properties=species:S:1:pos:R:3 pbc="T T T"
Au -7.812 1.760 4.053
Au -7.036 -2.994 5.869
Au -4.333 -3.355 4.346
Au -5.109 1.400 2.530
Ba 0.000 0.000 0.000
Y -6.072 -0.797 4.199
Mg -3.155 -0.670 2.306
Mg -8.989 -0.925 6.093
```